# ZrCr2In (PBE, relaxed)
# D(E_F) ... 3.8 states/eV per cell
# Total magnetization ... 0.08 μB per atom
# Energy of formation from the pure elements ... 349 meV/atom
data_ZrCr2In
_chemical_formula_sum 'Zr1 Cr2 In1'
_cell_length_a 8.925
_cell_length_b 8.925
_cell_length_c 8.925
_cell_angle_alpha 19.69
_cell_angle_beta 19.69
_cell_angle_gamma 19.69
_symmetry_space_group_name_H-M 'P 1'
_symmetry_Int_Tables_number 1
loop_
_symmetry_equiv_pos_as_xyz
'x,y,z'
loop_
_atom_site_label
_atom_site_type_symbol
_atom_site_fract_x
_atom_site_fract_y
_atom_site_fract_z
Cr1 Cr 0.988 0.988 0.988
Cr2 Cr 0.263 0.263 0.263
In1 In 0.509 0.509 0.509
Zr1 Zr 0.740 0.740 0.740